The following is a GGA-PBE calculation of a relaxed ZrTi3Ni crystal, from Alexandria via LeMat-Bulk.

energy relative to the lowest polymorph listed for this composition: 157 meV per atom
energy: -7.329 eV per atom
formation enthalpy at 0 K: 0.274 eV/atom
M_tot: 0.00 μB/f.u.

a = 4.572 Å, b = 4.572 Å, c = 4.572 Å
α = 90.00°, β = 90.00°, γ = 90.00°
Space group Pm-3m (No. 221)
Symmetry-distinct sites (fractional):
Zr (0.000, 0.000, 0.000) x1
Ti (0.000, 0.500, 0.500) x3
Ni (0.500, 0.500, 0.500) x1